The following is a GGA-PBEsol calculation of a relaxed structure of K2ScTlCl6, from Alexandria via LeMat-Bulk.

Lattice parameters (Å, degrees): 7.6606 7.6606 7.6606 60.00 60.00 60.00
Atoms (fractional coordinates):
K 0.7500 0.7500 0.7500
K 0.2500 0.2500 0.2500
Cl 0.7729 0.2271 0.7729
Cl 0.7729 0.7729 0.2271
Cl 0.2271 0.7729 0.7729
Cl 0.2271 0.2271 0.7729
Cl 0.2271 0.7729 0.2271
Cl 0.7729 0.2271 0.2271
Sc 0.0000 0.0000 0.0000
Tl 0.5000 0.5000 0.5000

Raw formation energy   -1771 meV per atom
Space-group type   Fm-3m

The following is a GGA-PBEsol calculation of a relaxed structure of BaCr2Re, from Alexandria via LeMat-Bulk.

Lattice parameters (Å, degrees): 3.0456 3.5500 7.4006 90.00 90.00 90.00
Atoms (fractional coordinates):
Ba 0.5000 0.5000 0.5000
Cr 0.0000 0.0000 0.8642
Cr 0.0000 0.0000 0.1358
Re 0.5000 0.5000 0.0000

ΔE_f   299 kJ/mol of formula units
Space-group type   Pmmm

The following is a GGA-PBEsol calculation of a relaxed structure of CaTlCd2, from Alexandria via LeMat-Bulk.

Lattice parameters (Å, degrees): 3.4209 4.8634 6.1050 90.00 98.51 90.00
Atoms (fractional coordinates):
Cd 0.8396 0.0000 0.0073
Cd 0.7734 0.5000 0.2408
Ca 0.2499 0.5000 0.7527
Tl 0.6372 0.0000 0.4992

Relative energy among the computed polymorphs   0.060 eV per atom
ΔE_f   -79 kJ/mol of formula units
Space-group type   Pm

The following is a GGA-PBEsol calculation of a relaxed structure of CdCu2Pt, from Alexandria via LeMat-Bulk.

Lattice parameters (Å, degrees): 2.9058 2.9058 6.6742 90.00 90.00 90.00
Atoms (fractional coordinates):
Pt 0.0000 0.0000 0.4691
Cu 0.5000 0.5000 0.2335
Cu 0.0000 0.0000 0.0349
Cd 0.5000 0.5000 0.7625

ΔE_f   -36 kJ/mol of formula units
Space-group type   P4mm

The following is a GGA-PBEsol calculation of a relaxed structure of CaAgW2, from Alexandria via LeMat-Bulk.

Lattice parameters (Å, degrees): 3.8252 3.8252 4.9566 90.00 90.00 90.00
Atoms (fractional coordinates):
Ca 0.0000 0.0000 0.5000
Ag 0.5000 0.5000 0.5000
W 0.0000 0.5000 0.0000
W 0.5000 0.0000 0.0000

Relative energy among the computed polymorphs   0.309 eV per atom
ΔE_f   318 kJ/mol of formula units
Space-group type   P4/mmm

The following is a GGA-PBEsol calculation of a relaxed structure of Cr2InSnO, from Alexandria via LeMat-Bulk.

Lattice parameters (Å, degrees): 4.1731 4.1731 4.9156 90.00 90.00 90.00
Site moments in Bohr magnetons follow the coordinates.
Atoms (fractional coordinates):
Sn 0.5000 0.5000 0.5000  -0.08
Cr 0.0000 0.5000 0.0000  3.60
Cr 0.5000 0.0000 0.0000  3.60
In 0.0000 0.0000 0.5000  -0.01
O 0.0000 0.0000 0.0000  0.02

Raw formation energy   -51 meV per atom
Space-group type   P4/mmm

The following is a GGA-PBEsol calculation of a relaxed structure of SbTe3, from Alexandria via LeMat-Bulk.

Lattice parameters (Å, degrees): 4.3804 4.3899 7.7403 105.48 90.00 119.93
Atoms (fractional coordinates):
Te 0.7439 0.4878 0.2403
Te 0.2561 0.5122 0.7597
Te 0.5000 0.0000 0.5000
Sb 0.0000 0.0000 0.0000

Raw formation energy   -1 meV per atom
Space-group type   C2/m

The following is a GGA-PBEsol calculation of a relaxed structure of LaMnBe2, from Alexandria via LeMat-Bulk.

Lattice parameters (Å, degrees): 4.2637 4.2637 4.2637 109.88 109.88 108.66
Site moments in Bohr magnetons follow the coordinates.
Atoms (fractional coordinates):
Be 0.7500 0.2500 0.5000  -0.05
Be 0.2500 0.7500 0.5000  -0.05
La 0.0000 0.0000 0.0000  -0.09
Mn 0.5000 0.5000 0.0000  1.72

Relative energy among the computed polymorphs   0.000 eV per atom
ΔE_f   184 kJ/mol of formula units
Space-group type   I4/mmm

The following is a GGA-PBEsol calculation of a relaxed structure of B2SbAs2, from Alexandria via LeMat-Bulk.

Lattice parameters (Å, degrees): 3.0877 7.3860 7.3860 90.00 90.00 90.00
Atoms (fractional coordinates):
B 0.5000 0.9203 0.4203
B 0.5000 0.4203 0.0797
B 0.5000 0.0797 0.5797
B 0.5000 0.5797 0.9203
Sb 0.0000 0.5000 0.5000
Sb 0.0000 0.0000 0.0000
As 0.0000 0.3511 0.8511
As 0.0000 0.6489 0.1489
As 0.0000 0.1489 0.3511
As 0.0000 0.8511 0.6489

Raw formation energy   1048 meV per atom
Space-group type   P4/mbm

The following is a GGA-PBEsol calculation of a relaxed structure of CsGe2RuI, from Alexandria via LeMat-Bulk.

Lattice parameters (Å, degrees): 4.8022 4.8022 6.1908 90.00 90.00 90.00
Atoms (fractional coordinates):
Cs 0.0000 0.0000 0.5000
I 0.5000 0.5000 0.5000
Ge 0.0000 0.5000 0.0000
Ge 0.5000 0.0000 0.0000
Ru 0.0000 0.0000 0.0000

Raw formation energy   18 meV per atom
Space-group type   P4/mmm

The following is a GGA-PBEsol calculation of a relaxed structure of Co2TcAs, from Alexandria via LeMat-Bulk.

Lattice parameters (Å, degrees): 2.6840 2.6840 7.9786 80.32 80.32 60.00
Site moments in Bohr magnetons follow the coordinates.
Atoms (fractional coordinates):
As 0.0000 0.0000 0.0000  -0.01
Co 0.2537 0.2537 0.2388  0.37
Co 0.7463 0.7463 0.7612  0.37
Tc 0.5000 0.5000 0.5000  -0.01

ΔE_f   47 kJ/mol of formula units
Space-group type   R-3m

The following is a GGA-PBEsol calculation of a relaxed structure of LiCa2Mg, from Alexandria via LeMat-Bulk.

Lattice parameters (Å, degrees): 3.7378 5.7108 6.3823 110.82 107.03 90.00
Atoms (fractional coordinates):
Mg 0.7766 0.2473 0.5532
Ca 0.2301 0.7091 0.4602
Ca 0.0188 0.0402 0.0375
Li 0.4746 0.5034 0.9491

ΔE_f   -9 kJ/mol of formula units
Space-group type   Cm

no.,final energy (Ry/atom),Fermi-level density of states (states/eV per cell)
1,-0.303,0.0
2,-0.604,4.3
3,-0.146,1.9
4,-0.316,1.2
5,-0.547,2.9
6,-0.488,2.8
7,-0.278,2.5
8,-0.390,3.0
9,-0.346,4.3
10,-0.333,2.2
11,-0.576,4.5
12,-0.148,3.5